Entry from the Alexandria database: a PBEsol-optimized structure of HfCrRePb2 (meta-GGA SCAN).

The value obtained for the electronic total energy is -297.6 eV per cell. The formation energy is 1.21 eV per atom. The value obtained for the density of states at the Fermi level is 3.83 states/eV/f.u. For the density, the calculation gives 12.5 g/cm³. The value obtained for the total magnetic moment is 0.92 μB per cell.

The space group is P4/mmm (No. 123) and the conventional cell measures 4.973, 4.973 and 4.460 Å, with angles of 90.00, 90.00 and 90.00 degrees. The distinct sites, in fractional coordinates, are Hf at (0.000, 0.000, 0.000), Cr at (0.500, 0.500, 0.500), Re at (0.500, 0.500, 0.000) and Pb at (0.000, 0.500, 0.500).